# 1
VASP calculation (PBE) on a relaxed NaTl2Hg16 crystal.

abc: 8.422 8.422 8.422
angles: 73.64 73.64 73.64
Fractional positions:
Na: 0.000 0.000 0.000
Tl: 0.383 0.383 0.383
Tl: 0.692 0.692 0.692
Hg: 0.059 0.368 0.749
Hg: 0.059 0.749 0.368
Hg: 0.165 0.165 0.165
Hg: 0.293 0.647 0.647
Hg: 0.368 0.059 0.749
Hg: 0.368 0.749 0.059
Hg: 0.401 0.401 0.972
Hg: 0.401 0.972 0.401
Hg: 0.637 0.993 0.993
Hg: 0.647 0.293 0.647
Hg: 0.647 0.647 0.293
Hg: 0.749 0.059 0.368
Hg: 0.749 0.368 0.059
Hg: 0.972 0.401 0.401
Hg: 0.993 0.637 0.993
Hg: 0.993 0.993 0.637

Properties
As for the density: 11.27 Mg/m³. As for the total energy: -0.609 eV per atom. Its space group is R3m.



# 2
VASP calculation (PBE) on a relaxed RhAu crystal.

abc: 4.082 4.082 5.210
angles: 90.00 90.00 120.00
Fractional positions:
Rh: 0.000 0.000 0.000
Rh: 0.000 0.000 0.500
Au: 0.333 0.667 0.250
Au: 0.667 0.333 0.750

Properties
As for the density: 13.25 Mg/m³. As for the total energy: -4.736 eV per atom. Its space group is P6_3/mmc.



# 3
VASP calculation (PBE) on a relaxed Sm4NCl5 crystal.

abc: 8.824 8.824 7.917
angles: 103.68 103.68 24.52
Fractional positions:
Sm: 0.002 0.002 0.290
Sm: 0.356 0.356 0.419
Sm: 0.644 0.644 0.581
Sm: 0.998 0.998 0.710
N: 0.500 0.500 0.500
Cl: 0.163 0.163 0.847
Cl: 0.172 0.172 0.334
Cl: 0.500 0.500 0.000
Cl: 0.828 0.828 0.666
Cl: 0.837 0.837 0.153

Properties
As for the density: 5.30 Mg/m³. For the uncorrected formation energy, the calculation gives -1879 meV per atom. As for the total energy: -5.523 eV per atom. Its space group is C2/m.



# 4
VASP calculation (PBE) on a relaxed Ti12Al3Pd crystal.

abc: 4.020 4.020 16.318
angles: 90.00 90.00 90.00
Fractional positions:
Ti: 0.000 0.000 0.000
Ti: 0.000 0.000 0.250
Ti: 0.000 0.000 0.500
Ti: 0.000 0.000 0.750
Ti: 0.000 0.500 0.124
Ti: 0.000 0.500 0.373
Ti: 0.000 0.500 0.627
Ti: 0.000 0.500 0.876
Ti: 0.500 0.000 0.124
Ti: 0.500 0.000 0.373
Ti: 0.500 0.000 0.627
Ti: 0.500 0.000 0.876
Al: 0.500 0.500 0.000
Al: 0.500 0.500 0.250
Al: 0.500 0.500 0.750
Pd: 0.500 0.500 0.500

Properties
As for the density: 4.80 Mg/m³. As for the total energy: -7.202 eV per atom. Its space group is P4/mmm.



# 5
VASP calculation (PBE) on a relaxed HgTeW2 crystal.

abc: 6.762 6.762 6.762
angles: 90.00 90.00 90.00
Fractional positions:
Hg: 0.000 0.000 0.000
Hg: 0.000 0.500 0.500
Hg: 0.500 0.000 0.500
Hg: 0.500 0.500 0.000
Te: 0.250 0.250 0.750
Te: 0.250 0.750 0.250
Te: 0.750 0.250 0.250
Te: 0.750 0.750 0.750
W: 0.000 0.000 0.500
W: 0.000 0.500 0.000
W: 0.250 0.250 0.250
W: 0.250 0.750 0.750
W: 0.500 0.000 0.000
W: 0.500 0.500 0.500
W: 0.750 0.250 0.750
W: 0.750 0.750 0.250

Properties
As for the density: 14.95 Mg/m³. For the excess energy over the best structure of this formula in the dataset, the calculation gives 605.1 meV per atom. For the uncorrected formation energy, the calculation gives 1056 meV per atom. As for the total energy: -6.281 eV per atom. Its space group is F-43m.



# 6
VASP calculation (PBE) on a relaxed Ba3GeRh crystal.

abc: 5.858 5.858 5.858
angles: 90.00 90.00 90.00
Fractional positions:
Ba: 0.000 0.000 0.500
Ba: 0.000 0.500 0.000
Ba: 0.500 0.000 0.000
Ge: 0.500 0.500 0.500
Rh: 0.000 0.000 0.000

Properties
As for the density: 4.85 Mg/m³. For the excess energy over the best structure of this formula in the dataset, the calculation gives 0.0 meV per atom. As for the total energy: -3.645 eV per atom. Its space group is Pm-3m.



# 7
VASP calculation (PBE) on a relaxed TaIn2Fe crystal.

abc: 4.104 4.104 8.779
angles: 90.00 90.00 90.00
Fractional positions:
Ta: 0.000 0.000 0.000
Ta: 0.500 0.500 0.500
In: 0.000 0.000 0.500
In: 0.000 0.500 0.250
In: 0.500 0.000 0.750
In: 0.500 0.500 0.000
Fe: 0.000 0.500 0.750
Fe: 0.500 0.000 0.250

Properties
As for the density: 10.48 Mg/m³. For the excess energy over the best structure of this formula in the dataset, the calculation gives 289.3 meV per atom. As for the total energy: -6.056 eV per atom. Its space group is I-4m2.



# 8
VASP calculation (PBE) on a relaxed Na2TlNi crystal.

abc: 7.117 7.117 7.117
angles: 90.00 90.00 90.00
Fractional positions:
Na: 0.250 0.250 0.250
Na: 0.250 0.250 0.750
Na: 0.250 0.750 0.250
Na: 0.250 0.750 0.750
Na: 0.750 0.250 0.250
Na: 0.750 0.250 0.750
Na: 0.750 0.750 0.250
Na: 0.750 0.750 0.750
Tl: 0.000 0.000 0.000
Tl: 0.000 0.500 0.500
Tl: 0.500 0.000 0.500
Tl: 0.500 0.500 0.000
Ni: 0.000 0.000 0.500
Ni: 0.000 0.500 0.000
Ni: 0.500 0.000 0.000
Ni: 0.500 0.500 0.500

Properties
As for the density: 5.70 Mg/m³. For the excess energy over the best structure of this formula in the dataset, the calculation gives 5.8 meV per atom. As for the total energy: -2.348 eV per atom. Its space group is Fm-3m.



# 9
VASP calculation (PBE) on a relaxed CeDy2CoN4 crystal.

abc: 5.896 5.896 11.513
angles: 90.00 90.00 146.76
Fractional positions:
Ce: 0.108 0.892 0.750
Ce: 0.892 0.108 0.250
Dy: 0.369 0.631 0.550
Dy: 0.369 0.631 0.950
Dy: 0.631 0.369 0.050
Dy: 0.631 0.369 0.450
Co: 0.156 0.844 0.250
Co: 0.844 0.156 0.750
N: 0.000 0.000 0.000
N: 0.000 0.000 0.500
N: 0.274 0.726 0.132
N: 0.274 0.726 0.368
N: 0.438 0.562 0.750
N: 0.562 0.438 0.250
N: 0.726 0.274 0.632
N: 0.726 0.274 0.868

Properties
As for the density: 8.78 Mg/m³. For the uncorrected formation energy, the calculation gives -1135 meV per atom. As for the total energy: -8.078 eV per atom. Its space group is Cmcm.



# 10
VASP calculation (PBE) on a relaxed BaDyCu2F8 crystal.

abc: 5.948 5.948 7.601
angles: 90.00 90.00 120.00
Fractional positions:
Ba: 0.000 0.000 0.000
Dy: 0.000 0.000 0.500
Cu: 0.333 0.667 0.195
Cu: 0.667 0.333 0.805
F: 0.155 0.309 0.304
F: 0.155 0.845 0.304
F: 0.309 0.155 0.696
F: 0.333 0.667 0.947
F: 0.667 0.333 0.053
F: 0.691 0.845 0.304
F: 0.845 0.155 0.696
F: 0.845 0.691 0.696

Properties
As for the density: 4.13 Mg/m³. For the uncorrected formation energy, the calculation gives -2740 meV per atom. As for the total energy: -5.214 eV per atom. Its space group is P-3m1.



# 11
VASP calculation (PBE) on a relaxed LaCd2Ag crystal.

abc: 3.390 3.390 30.186
angles: 90.00 90.00 120.00
Fractional positions:
La: 0.000 0.000 0.000
La: 0.333 0.667 0.667
La: 0.667 0.333 0.333
Cd: 0.000 0.000 0.239
Cd: 0.000 0.000 0.761
Cd: 0.333 0.667 0.427
Cd: 0.333 0.667 0.906
Cd: 0.667 0.333 0.094
Cd: 0.667 0.333 0.573
Ag: 0.000 0.000 0.500
Ag: 0.333 0.667 0.167
Ag: 0.667 0.333 0.833

Properties
As for the density: 7.82 Mg/m³. As for the total energy: -2.423 eV per atom. Its space group is R-3m.



# 12
VASP calculation (PBE) on a relaxed ZrMnTl2S4 crystal.

abc: 6.491 3.683 7.782
angles: 90.00 91.36 90.00
Fractional positions:
Zr: 0.000 0.000 0.000
Mn: 0.500 0.500 0.000
Tl: 0.000 0.000 0.500
Tl: 0.500 0.500 0.500
S: 0.165 0.500 0.190
S: 0.337 0.000 0.825
S: 0.663 0.000 0.175
S: 0.835 0.500 0.810

Properties
As for the density: 6.10 Mg/m³. For the uncorrected formation energy, the calculation gives -825 meV per atom. As for the total energy: -5.695 eV per atom. Its space group is P2/m.



density of number 12 (ZrMnTl2S4)? 6.10 Mg/m³